No. 1
TlGeF3 | GGA-PBE | relaxed

```
TlGeF3
1.0
4.032 0.000 4.908
-2.016 3.492 4.908
-2.016 -3.492 4.908
F Tl Ge
6 2 2
Direct
0.198 0.407 0.643
0.143 0.907 0.698
0.407 0.643 0.198
0.698 0.143 0.907
0.643 0.198 0.407
0.907 0.698 0.143
0.243 0.243 0.243
0.743 0.743 0.743
0.490 0.490 0.490
0.990 0.990 0.990
```

Summary:
raw formation energy	-2.02	eV per atom
E above lowest polymorph	0.011	eV/atom
final energy	-45.4	eV for the cell shown
N(E_F)	0.000	states/eV/f.u.

No. 2
TlGeF5 | GGA-PBE | relaxed

```
TlGeF5
1.0
-1.516 -2.996 4.472
5.383 -0.574 1.401
0.873 9.272 -0.234
F Ge Tl
10 2 2
Direct
0.767 0.820 0.502
0.819 0.265 0.998
0.276 0.738 0.450
0.233 0.180 0.498
0.310 0.060 0.250
0.690 0.940 0.750
0.181 0.735 0.002
0.724 0.262 0.550
0.787 0.826 0.050
0.213 0.174 0.950
0.000 0.000 0.000
0.500 0.000 0.500
0.272 0.522 0.750
0.728 0.478 0.250
```

Summary:
raw formation energy	-2.32	eV per atom
final energy	-65.1	eV for the cell shown
N(E_F)	0.000	states/eV/f.u.